[1]
Here is an optimized crystal structure of CeHf2Ga from the Alexandria database. Energies are from PBE.

Structure (CIF):
```
data_CeHf2Ga
_space_group_name_H-M_alt 'P 4/m m m'
_space_group_IT_number 123
_space_group_name_Hall '-P 4 2'
_cell_length_a 3.1038
_cell_length_b 3.1038
_cell_length_c 9.0477
_cell_angle_alpha 90.00
_cell_angle_beta 90.00
_cell_angle_gamma 90.00
loop_
_atom_site_label
_atom_site_fract_x
_atom_site_fract_y
_atom_site_fract_z
_atom_site_occupancy
Ce1 0.0000 0.0000 0.0000 1
Hf1 0.5000 0.5000 0.2885 1
Ga1 0.0000 0.0000 0.5000 1
```

Magnetization: 0.000 μB/atom
Formation energy from the elements: -118 meV/atom
Relative energy among the computed polymorphs: 0.0222 eV per atom

[2]
Here is an optimized crystal structure of CeHf2Ga from the Alexandria database. Energies are from PBE.

Structure (CIF):
```
data_CeHf2Ga
_space_group_name_H-M_alt 'R -3 m'
_space_group_IT_number 166
_space_group_name_Hall '-R 3 2"'
_cell_length_a 3.2469
_cell_length_b 3.2469
_cell_length_c 29.3485
_cell_angle_alpha 90.00
_cell_angle_beta 90.00
_cell_angle_gamma 120.00
loop_
_atom_site_label
_atom_site_fract_x
_atom_site_fract_y
_atom_site_fract_z
_atom_site_occupancy
Ce1 0.0000 0.0000 0.0000 1
Hf1 0.0000 0.0000 0.2427 1
Ga1 0.0000 0.0000 0.5000 1
```

Magnetization: 0.000 μB/atom
Formation energy from the elements: -20 meV/atom
Relative energy among the computed polymorphs: 0.1207 eV per atom

[3]
Here is an optimized crystal structure of Ce2HfGa6 from the Alexandria database. Energies are from PBE.

Structure (CIF):
```
data_Ce2HfGa6
_space_group_name_H-M_alt 'P -3 m 1'
_space_group_IT_number 164
_space_group_name_Hall '-P 3 2"'
_cell_length_a 6.1089
_cell_length_b 6.1089
_cell_length_c 5.7855
_cell_angle_alpha 90.00
_cell_angle_beta 90.00
_cell_angle_gamma 120.00
loop_
_atom_site_label
_atom_site_fract_x
_atom_site_fract_y
_atom_site_fract_z
_atom_site_occupancy
Ce1 0.3333 0.6667 0.1607 1
Hf1 0.0000 0.0000 0.0000 1
Ga1 0.1833 0.3666 0.6646 1
```

Magnetization: 0.224 μB/atom
Formation energy from the elements: -466 meV/atom

[4]
Here is an optimized crystal structure of CeHfGa3 from the Alexandria database. Energies are from PBE.

Structure (CIF):
```
data_CeHfGa3
_space_group_name_H-M_alt 'C m c m'
_space_group_IT_number 63
_space_group_name_Hall '-C 2c 2'
_cell_length_a 4.0456
_cell_length_b 25.1043
_cell_length_c 4.0715
_cell_angle_alpha 90.00
_cell_angle_beta 90.00
_cell_angle_gamma 90.00
loop_
_atom_site_label
_atom_site_fract_x
_atom_site_fract_y
_atom_site_fract_z
_atom_site_occupancy
Ce1 0.0000 0.0767 0.2500 1
Hf1 0.0000 0.2070 0.7500 1
Ga1 0.0000 0.3162 0.7500 1
Ga2 0.0000 0.3751 0.2500 1
Ga3 0.0000 0.4743 0.2500 1
```

Magnetization: 0.097 μB/atom
Formation energy from the elements: -505 meV/atom

[5]
Here is an optimized crystal structure of CeHfGa from the Alexandria database. Energies are from PBE.

Structure (CIF):
```
data_CeHfGa
_space_group_name_H-M_alt 'P 3 m 1'
_space_group_IT_number 156
_space_group_name_Hall 'P 3 -2"'
_cell_length_a 4.9226
_cell_length_b 4.9226
_cell_length_c 3.2887
_cell_angle_alpha 90.00
_cell_angle_beta 90.00
_cell_angle_gamma 120.00
loop_
_atom_site_label
_atom_site_fract_x
_atom_site_fract_y
_atom_site_fract_z
_atom_site_occupancy
Ce1 0.0000 0.0000 0.0000 1
Hf1 0.3333 0.6667 0.4986 1
Ga1 0.6667 0.3333 0.5031 1
```

Magnetization: 0.160 μB/atom
Formation energy from the elements: -94 meV/atom
Relative energy among the computed polymorphs: 0.1815 eV per atom

[6]
Here is an optimized crystal structure of CeHfGa from the Alexandria database. Energies are from PBE.

Structure (CIF):
```
data_CeHfGa
_space_group_name_H-M_alt 'R -3 m'
_space_group_IT_number 166
_space_group_name_Hall '-R 3 2"'
_cell_length_a 4.5856
_cell_length_b 4.5856
_cell_length_c 22.8790
_cell_angle_alpha 90.00
_cell_angle_beta 90.00
_cell_angle_gamma 120.00
loop_
_atom_site_label
_atom_site_fract_x
_atom_site_fract_y
_atom_site_fract_z
_atom_site_occupancy
Ce1 0.0000 0.0000 0.1397 1
Hf1 0.0000 0.0000 0.2928 1
Ga1 0.0000 0.0000 0.4138 1
```

Magnetization: 0.009 μB/atom
Formation energy from the elements: -118 meV/atom
Relative energy among the computed polymorphs: 0.1580 eV per atom

[7]
Here is an optimized crystal structure of CeHfGa2 from the Alexandria database. Energies are from PBE.

Structure (CIF):
```
data_CeHfGa2
_space_group_name_H-M_alt 'P 4/m m m'
_space_group_IT_number 123
_space_group_name_Hall '-P 4 2'
_cell_length_a 3.1360
_cell_length_b 3.1360
_cell_length_c 8.2310
_cell_angle_alpha 90.00
_cell_angle_beta 90.00
_cell_angle_gamma 90.00
loop_
_atom_site_label
_atom_site_fract_x
_atom_site_fract_y
_atom_site_fract_z
_atom_site_occupancy
Ce1 0.0000 0.0000 0.0000 1
Hf1 0.0000 0.0000 0.5000 1
Ga1 0.5000 0.5000 0.2692 1
```

Magnetization: 0.035 μB/atom
Formation energy from the elements: -452 meV/atom
Relative energy among the computed polymorphs: 0.0000 eV per atom

[8]
Here is an optimized crystal structure of Ce2HfGaN5 from the Alexandria database. Energies are from PBE.

Structure (CIF):
```
data_Ce2HfGaN5
_space_group_name_H-M_alt 'C m c 21'
_space_group_IT_number 36
_space_group_name_Hall 'C 2c -2'
_cell_length_a 3.3343
_cell_length_b 13.7048
_cell_length_c 10.2439
_cell_angle_alpha 90.00
_cell_angle_beta 90.00
_cell_angle_gamma 90.00
loop_
_atom_site_label
_atom_site_fract_x
_atom_site_fract_y
_atom_site_fract_z
_atom_site_occupancy
Ce1 0.0000 0.1190 0.0000 1
Ce2 0.0000 0.1301 0.5933 1
Hf1 0.0000 0.2114 0.3062 1
Ga1 0.0000 0.4885 0.7849 1
N1 0.0000 0.0548 0.3600 1
N2 0.0000 0.2871 0.9570 1
N3 0.0000 0.2992 0.6680 1
N4 0.0000 0.3650 0.3233 1
N5 0.0000 0.4956 0.0923 1
```

Magnetization: 0.000 μB/atom
Final energy: -8.57 eV/atom

[9]
Here is an optimized crystal structure of CeHfGa5Pd2 from the Alexandria database. Energies are from PBE.

Structure (CIF):
```
data_CeHfGa5Pd2
_space_group_name_H-M_alt 'P 4/m m m'
_space_group_IT_number 123
_space_group_name_Hall '-P 4 2'
_cell_length_a 4.8475
_cell_length_b 4.8475
_cell_length_c 7.5430
_cell_angle_alpha 90.00
_cell_angle_beta 90.00
_cell_angle_gamma 90.00
loop_
_atom_site_label
_atom_site_fract_x
_atom_site_fract_y
_atom_site_fract_z
_atom_site_occupancy
Ce1 0.0000 0.0000 0.0000 1
Hf1 0.0000 0.0000 0.5000 1
Ga1 0.0000 0.5000 0.2797 1
Ga2 0.5000 0.5000 0.0000 1
Pd1 0.5000 0.5000 0.3272 1
```

Magnetization: 0.114 μB/atom
Formation energy from the elements: -316 meV/atom

[10]
Here is an optimized crystal structure of Ce2HfGa3Pt4 from the Alexandria database. Energies are from PBE.

Structure (CIF):
```
data_Ce2HfGa3Pt4
_space_group_name_H-M_alt 'P -4 m 2'
_space_group_IT_number 115
_space_group_name_Hall 'P -4 -2'
_cell_length_a 4.1756
_cell_length_b 4.1756
_cell_length_c 11.3494
_cell_angle_alpha 90.00
_cell_angle_beta 90.00
_cell_angle_gamma 90.00
loop_
_atom_site_label
_atom_site_fract_x
_atom_site_fract_y
_atom_site_fract_z
_atom_site_occupancy
Ce1 0.0000 0.5000 0.2377 1
Hf1 0.0000 0.0000 0.5000 1
Ga1 0.0000 0.5000 0.8702 1
Ga2 0.5000 0.5000 0.5000 1
Pt1 0.0000 0.0000 0.0000 1
Pt2 0.0000 0.5000 0.6486 1
Pt3 0.5000 0.5000 0.0000 1
```

Magnetization: 0.181 μB/atom
Formation energy from the elements: -935 meV/atom

[11]
Here is an optimized crystal structure of Ce4GaHg2 from the Alexandria database. Energies are from PBE.

Structure (CIF):
```
data_Ce4GaHg2
_space_group_name_H-M_alt 'C m m m'
_space_group_IT_number 65
_space_group_name_Hall '-C 2 2'
_cell_length_a 2.9897
_cell_length_b 41.0645
_cell_length_c 2.9874
_cell_angle_alpha 90.00
_cell_angle_beta 90.00
_cell_angle_gamma 90.00
loop_
_atom_site_label
_atom_site_fract_x
_atom_site_fract_y
_atom_site_fract_z
_atom_site_occupancy
Ce1 0.0000 0.0742 0.0000 1
Ce2 0.0000 0.3637 0.5000 1
Ga1 0.0000 0.0000 0.0000 1
Hg1 0.0000 0.2854 0.5000 1
```

Magnetization: 0.001 μB/atom
Formation energy from the elements: 175 meV/atom